No. 1
# TaCoOs2 GGA-PBE optimized geometry
data_TaCoOs2
_cell_length_a 3.8371
_cell_length_b 3.8371
_cell_length_c 9.1114
_cell_angle_alpha 77.84
_cell_angle_beta 77.84
_cell_angle_gamma 90.00
_space_group_name_H-M_alt 'P 1'
_space_group_IT_number 1
_space_group_name_Hall 'P 1'
loop_
_atom_site_label
_atom_site_type_symbol
_atom_site_fract_x
_atom_site_fract_y
_atom_site_fract_z
_atom_site_occupancy
Ta1 Ta 0.7500 0.2500 0.5000 1
Ta2 Ta 0.0000 0.0000 0.0000 1
Os1 Os 0.1758 0.6250 0.2500 1
Os2 Os 0.3750 0.4258 0.7500 1
Os3 Os 0.8750 0.8242 0.7500 1
Os4 Os 0.5742 0.1250 0.2500 1
Co1 Co 0.2500 0.7500 0.5000 1
Co2 Co 0.5000 0.5000 0.0000 1
# energy of formation from the pure elements: 541 meV per atom
# V: 16.01 Å³ per atom
# space group: No. 122
# size of the total moment: 0.0 μB per formula unit


No. 2
# TaCo2Os GGA-PBE optimized geometry
data_TaCo2Os
_cell_length_a 2.7251
_cell_length_b 2.7251
_cell_length_c 7.2321
_cell_angle_alpha 90.00
_cell_angle_beta 90.00
_cell_angle_gamma 90.05
_space_group_name_H-M_alt 'P 1'
_space_group_IT_number 1
_space_group_name_Hall 'P 1'
loop_
_atom_site_label
_atom_site_type_symbol
_atom_site_fract_x
_atom_site_fract_y
_atom_site_fract_z
_atom_site_occupancy
Co1 Co 0.5000 0.5000 0.2392 1
Co2 Co 0.0000 0.0000 0.0259 1
Ta1 Ta 0.5000 0.5000 0.7689 1
Os1 Os 0.0000 0.0000 0.4659 1
# energy of formation from the pure elements: 80 meV per atom
# V: 13.43 Å³ per atom
# relative energy among the computed polymorphs: 265 meV/atom
# space group: No. 99
# size of the total moment: 1.5 μB per formula unit


No. 3
# TaCoOs2 GGA-PBE optimized geometry
data_TaCoOs2
_cell_length_a 5.1104
_cell_length_b 5.1104
_cell_length_c 5.1104
_cell_angle_alpha 145.30
_cell_angle_beta 127.92
_cell_angle_gamma 64.11
_space_group_name_H-M_alt 'P 1'
_space_group_IT_number 1
_space_group_name_Hall 'P 1'
loop_
_atom_site_label
_atom_site_type_symbol
_atom_site_fract_x
_atom_site_fract_y
_atom_site_fract_z
_atom_site_occupancy
Os1 Os 0.5036 0.5036 0.0000 1
Os2 Os 0.9964 0.9964 0.0000 1
Co1 Co 0.2500 0.7500 0.5000 1
Ta1 Ta 0.7500 0.2500 0.5000 1
# energy of formation from the pure elements: 166 meV per atom
# V: 14.81 Å³ per atom
# space group: No. 71
# size of the total moment: 2.4 μB per formula unit


No. 4
# TaCoOs2 GGA-PBE optimized geometry
data_TaCoOs2
_cell_length_a 4.6473
_cell_length_b 4.6473
_cell_length_c 4.7657
_cell_angle_alpha 79.97
_cell_angle_beta 79.97
_cell_angle_gamma 34.87
_space_group_name_H-M_alt 'P 1'
_space_group_IT_number 1
_space_group_name_Hall 'P 1'
loop_
_atom_site_label
_atom_site_type_symbol
_atom_site_fract_x
_atom_site_fract_y
_atom_site_fract_z
_atom_site_occupancy
Os1 Os 0.4935 0.4935 0.5238 1
Os2 Os 0.0065 0.0065 0.9762 1
Co1 Co 0.7500 0.7500 0.7500 1
Ta1 Ta 0.2500 0.2500 0.2500 1
# energy of formation from the pure elements: -13 meV per atom
# V: 14.47 Å³ per atom
# space group: No. 12
# size of the total moment: 0.8 μB per formula unit